Arrangement w

An optimized crystal structure of HfMg2Sc2, computed with PBE.

Output
* space group: P4/mbm, No. 127

a = 8.283 Å, b = 8.283 Å, c = 3.362 Å
α = 90.00°, β = 90.00°, γ = 90.00°
Positions (direct):
Hf 0.000 0.000 0.000
Hf 0.500 0.500 0.000
Mg 0.126 0.374 0.000
Mg 0.374 0.874 0.000
Mg 0.626 0.126 0.000
Mg 0.874 0.626 0.000
Sc 0.174 0.674 0.500
Sc 0.326 0.174 0.500
Sc 0.674 0.826 0.500
Sc 0.826 0.326 0.500

***

Arrangement x

An optimized crystal structure of HfMg2Sc2, computed with PBE.

Output
* space group: P4/mbm, No. 127

a = 8.294 Å, b = 8.294 Å, c = 3.313 Å
α = 90.00°, β = 90.00°, γ = 90.00°
Positions (direct):
Hf 0.000 0.000 0.000
Hf 0.500 0.500 0.000
Mg 0.165 0.335 0.500
Mg 0.335 0.835 0.500
Mg 0.665 0.165 0.500
Mg 0.835 0.665 0.500
Sc 0.135 0.635 0.000
Sc 0.365 0.135 0.000
Sc 0.635 0.865 0.000
Sc 0.865 0.365 0.000

***

Arrangement y

An optimized crystal structure of HfMg2Sc2, computed with PBE.

Output
* space group: I4/mmm, No. 139

a = 7.815 Å, b = 7.815 Å, c = 7.815 Å
α = 150.02°, β = 150.02°, γ = 42.92°
Positions (direct):
Hf 0.000 0.000 0.000
Mg 0.406 0.406 0.000
Mg 0.594 0.594 0.000
Sc 0.250 0.750 0.500
Sc 0.750 0.250 0.500

***

Arrangement z

An optimized crystal structure of HfMg2Sc2, computed with PBE.

Output
* space group: I4/mmm, No. 139

a = 11.313 Å, b = 11.313 Å, c = 11.313 Å
α = 163.58°, β = 163.58°, γ = 23.30°
Positions (direct):
Hf 0.000 0.000 0.000
Mg 0.202 0.202 0.000
Mg 0.798 0.798 0.000
Sc 0.402 0.402 0.000
Sc 0.598 0.598 0.000

***

Most stable pick: arrangement z. Distance to second place: 252 meV per atom.

***

Arrangement w

An optimized crystal structure of HfMgSe3, computed with PBE.

Output
* space group: Cmc2_1, No. 36

a = 10.576 Å, b = 10.576 Å, c = 6.779 Å
α = 90.00°, β = 90.00°, γ = 159.08°
Positions (direct):
Hf 0.163 0.837 0.500
Hf 0.837 0.163 0.000
Mg 0.339 0.661 0.539
Mg 0.661 0.339 0.039
Se 0.094 0.906 0.199
Se 0.250 0.750 0.863
Se 0.396 0.604 0.188
Se 0.604 0.396 0.688
Se 0.750 0.250 0.363
Se 0.906 0.094 0.699

***

Arrangement x

An optimized crystal structure of HfMgSe3, computed with PBE.

Output
* space group: Pm-3m, No. 221

a = 4.894 Å, b = 4.894 Å, c = 4.894 Å
α = 90.00°, β = 90.00°, γ = 90.00°
Positions (direct):
Hf 0.000 0.000 0.000
Mg 0.500 0.500 0.500
Se 0.000 0.500 0.500
Se 0.500 0.000 0.500
Se 0.500 0.500 0.000

***

Arrangement y

An optimized crystal structure of HfMgSe3, computed with PBE.

Output
* space group: Pm-3m, No. 221

a = 5.172 Å, b = 5.172 Å, c = 5.172 Å
α = 90.00°, β = 90.00°, γ = 90.00°
Positions (direct):
Hf 0.000 0.000 0.000
Mg 0.500 0.500 0.500
Se 0.000 0.000 0.500
Se 0.000 0.500 0.000
Se 0.500 0.000 0.000

***

Most stable pick: arrangement w. Distance to second place: 612 meV per atom.